Computed, not measured: crystalline Y5Ir2O12 at its relaxed geometry at the PBE level of DFT.

abc: 6.0412 6.8900 7.2343
angles: 105.28 90.00 116.00
With the nearest neighbours (Å) after each atom.
Atoms (fractional coordinates):
Y1 0.3003 0.6006 0.6392  7 O 2.32-2.43
Y2 0.3065 0.6130 0.1674  7 O 2.31-2.41
Y3 0.0000 0.0000 0.5000  6 O 2.34
Y4 0.6935 0.3870 0.8326  7 O 2.31-2.41
Y5 0.6997 0.3994 0.3608  7 O 2.32-2.43
Ir1 0.7524 0.0000 0.0000  6 O 1.97-2.03
Ir2 0.2476 0.0000 0.0000  6 O 1.97-2.03
O1 0.9992 0.9984 0.1759  2 Ir 1.97
O2 0.1000 0.6652 0.9136  1 Ir 1.99
O3 0.5652 0.6652 0.9136  1 Ir 1.99
O4 0.0971 0.6976 0.4273  4 Y 2.32-2.36
O5 0.6005 0.6976 0.4273  4 Y 2.32-2.36
O6 0.5005 0.0010 0.8147  2 Ir 2.03
O7 0.4995 0.9990 0.1853  2 Ir 2.03
O8 0.9029 0.3024 0.5727  4 Y 2.32-2.36
O9 0.3995 0.3024 0.5727  4 Y 2.32-2.36
O10 0.9000 0.3348 0.0864  1 Ir 1.99
O11 0.4348 0.3348 0.0864  1 Ir 1.99
O12 0.0008 0.0016 0.8241  2 Ir 1.97

Formation energy from raw total energies   -2.60 eV/atom
Calculated volume   13.62 Å³ per atom